Entry 1:
This record from the Alexandria database describes LiAgSn2 after structural relaxation. The functional is PBE.

The structure in POSCAR format:
```
LiAgSn2
1.0
-4.296 -0.568 0.616
0.668 -0.376 4.310
-2.936 9.103 3.472
Sn Li Ag
4 2 2
direct
0.131 0.625 0.250 Sn
0.375 0.381 0.750 Sn
0.619 0.125 0.250 Sn
0.875 0.869 0.750 Sn
0.250 0.750 0.500 Li
0.500 0.500 0.000 Li
0.750 0.250 0.500 Ag
0.000 0.000 0.000 Ag
```

E_form	-50.0	meV/atom
DOS(E_F)	1.7	states/eV/f.u.
distance to the lowest polymorph of the same formula	99	meV/atom
space group	I-42d (122)


Entry 2:
This record from the Alexandria database describes CaFePb2Br after structural relaxation. The functional is PBE.

The structure in POSCAR format:
```
CaFePb2Br
1.0
6.087 0.000 0.000
0.000 6.087 0.000
0.000 0.000 4.964
Fe Ca Br Pb
1 1 1 2
direct
0.000 0.000 0.500 Fe
0.000 0.000 0.000 Ca
0.500 0.500 0.500 Br
0.500 0.000 0.000 Pb
0.000 0.500 0.000 Pb
```

DOS(E_F)	5.7	states/eV/f.u.
space group	P4/mmm (123)
uncorrected energy	-3.008	eV per atom


Entry 3:
This record from the Alexandria database describes Dy8Ag2Pt after structural relaxation. The functional is PBE.

The structure in POSCAR format:
```
Dy8Ag2Pt
1.0
-2.238 4.651 -0.413
-6.078 -2.819 1.191
4.315 -0.085 8.113
Dy Ag Pt
8 2 1
direct
0.203 0.320 0.406 Dy
0.590 0.440 0.180 Dy
0.797 0.680 0.594 Dy
0.410 0.560 0.820 Dy
0.339 0.026 0.679 Dy
0.027 0.783 0.054 Dy
0.661 0.974 0.321 Dy
0.973 0.217 0.946 Dy
0.815 0.271 0.630 Ag
0.185 0.729 0.370 Ag
0.500 0.000 0.000 Pt
```

E_form	-323.2	meV/atom
DOS(E_F)	10.0	states/eV/f.u.
space group	C2/m (12)


Entry 4:
This record from the Alexandria database describes Tb6NdEr6 after structural relaxation. The functional is PBE.

The structure in POSCAR format:
```
Tb6NdEr6
1.0
-5.339 3.495 -1.625
3.413 -2.446 -5.039
-6.089 -9.154 0.320
Tb Er Nd
6 6 1
direct
0.260 0.732 0.500 Tb
0.622 0.337 0.000 Tb
0.000 0.000 0.664 Tb
0.378 0.663 0.000 Tb
0.000 0.000 0.336 Tb
0.740 0.268 0.500 Tb
0.500 0.000 0.232 Er
0.000 0.500 0.780 Er
0.000 0.500 0.220 Er
0.500 0.500 0.698 Er
0.500 0.000 0.768 Er
0.500 0.500 0.302 Er
0.000 0.000 0.000 Nd
```

E_form	218.8	meV/atom
DOS(E_F)	20.1	states/eV/f.u.
space group	P2/m (10)


Which formula does entry 1 have?
LiAgSn2


Which value of DOS(E_F) does entry 1 give?
1.7 states/eV/f.u.


What did the third record say?
This record from the Alexandria database describes Dy8Ag2Pt after structural relaxation. The functional is PBE.

The structure in POSCAR format:
```
Dy8Ag2Pt
1.0
-2.238 4.651 -0.413
-6.078 -2.819 1.191
4.315 -0.085 8.113
Dy Ag Pt
8 2 1
direct
0.203 0.320 0.406 Dy
0.590 0.440 0.180 Dy
0.797 0.680 0.594 Dy
0.410 0.560 0.820 Dy
0.339 0.026 0.679 Dy
0.027 0.783 0.054 Dy
0.661 0.974 0.321 Dy
0.973 0.217 0.946 Dy
0.815 0.271 0.630 Ag
0.185 0.729 0.370 Ag
0.500 0.000 0.000 Pt
```

E_form	-323.2	meV/atom
DOS(E_F)	10.0	states/eV/f.u.
space group	C2/m (12)